1.
First-principles (PBE-GGA) data for SrGa3I after structural relaxation, as listed in the Alexandria database.

For the density of states at the Fermi level, the calculation gives 3.2 states/eV per cell. The offset from the most stable computed form is 0.000 eV/atom. The value obtained for the formation energy (no corrections) is 0.2831 eV per atom.

Cell: 5.815 5.815 5.815 Å, 90.00 90.00 90.00°
Space group Pm-3m (No. 221)
One atom of each set of equivalent atoms:
Sr  0.000  0.000  0.000
Ga  0.000  0.500  0.500
I  0.500  0.500  0.500



2.
First-principles (PBE-GGA) data for LiFeAs2 after structural relaxation, as listed in the Alexandria database.

The calculation puts the energy of formation from the pure elements at -0.206 eV per atom. For the density of states at the Fermi level, the calculation gives 5.6 states/eV per cell. The offset from the most stable computed form is 0.049 eV/atom.

Cell: 7.338 3.190 5.600 Å, 90.00 103.67 90.00°
Space group C2/m (No. 12)
One atom of each set of equivalent atoms:
Li  0.000  0.000  0.000
Fe  0.000  0.500  0.500
As  0.235  0.000  0.700



3.
First-principles (PBE-GGA) data for KVCd after structural relaxation, as listed in the Alexandria database.

The calculation puts the energy of formation from the pure elements at 1.315 eV per atom. For the density of states at the Fermi level, the calculation gives 20.1 states/eV per cell. The offset from the most stable computed form is 0.998 eV/atom.

Cell: 5.8154 5.8154 11.0733 Å, 90.00 90.00 120.00°
Space group P6_3/mmc (No. 194)
One atom of each set of equivalent atoms:
K  0.3333  0.6667  0.2500
V  0.0000  0.0000  0.0000
Cd  0.0000  0.0000  0.2500



4.
First-principles (PBE-GGA) data for ScFeMoRu after structural relaxation, as listed in the Alexandria database.

The calculation puts the energy of formation from the pure elements at -0.103 eV per atom. For the density of states at the Fermi level, the calculation gives 14.0 states/eV per cell.

Cell: 6.213 6.213 6.213 Å, 90.00 90.00 90.00°
Space group F-43m (No. 216)
One atom of each set of equivalent atoms:
Sc  0.000  0.000  0.000
Fe  0.250  0.250  0.750
Mo  0.000  0.000  0.500
Ru  0.250  0.250  0.250



5.
First-principles (PBE-GGA) data for Ba2Zn5Ge3 after structural relaxation, as listed in the Alexandria database.

The calculation puts the energy of formation from the pure elements at -0.269 eV per atom. For the density of states at the Fermi level, the calculation gives 4.8 states/eV per cell. The offset from the most stable computed form is 0.089 eV/atom.

Cell: 4.583 4.583 10.848 Å, 90.00 90.00 90.00°
Space group P-4m2 (No. 115)
One atom of each set of equivalent atoms:
Ba  0.000  0.500  0.247
Zn  0.000  0.000  0.500
Zn  0.000  0.500  0.619
Zn  0.500  0.500  0.000
Zn  0.500  0.500  0.500
Ge  0.000  0.000  0.000
Ge  0.000  0.500  0.869